Density functional theory data (PBE-GGA) for an optimized crystal structure of CaAlAgS2.

a b c (Å): 4.993 4.993 5.164
angles (deg): 90.00 90.00 90.00
Fractional coordinates of all 5 atoms:
Ca1 0.000 0.000 0.000
Al1 0.500 0.500 0.000
Ag1 0.000 0.000 0.500
S1 0.000 0.500 0.500
S2 0.500 0.000 0.500

Output
total magnetization = 0.00 μB per cell
SG = No. 123
volume = 129 Å³ per cell
formation energy (no corrections) = 0.209 eV per atom